The following is a DFT calculation (PBE) of a relaxed Cs2MoIBr6 crystal.

## Properties
The calculation puts the total moment at 1.00 μB per formula unit. The energy relative to the elements, uncorrected is -0.88 eV/atom. As for the total energy: -32.933 eV per cell.

```
Cs2MoIBr6
1.0
-1.330 0.774 8.368
4.777 -6.900 1.398
6.636 0.431 5.340
Cs I Mo Br
2 1 1 6
Cartesian
3.515 -0.929 9.295
6.569 -4.766 5.810
0.000 0.000 0.000
1.724 -3.063 4.883
3.796 -1.589 5.076
6.288 -4.105 10.030
0.993 -1.765 2.813
2.454 -4.361 6.952
0.429 -1.437 6.360
3.018 -4.689 3.406
```